A relaxed SiIr2Se crystal, computed with PBE.

Lattice parameters (Å, degrees): 2.9642 2.8913 7.2538 90.00 90.00 90.00
Atoms (fractional coordinates):
Ir1 0.0000 0.2499 0.9418
Ir2 0.0000 0.2501 0.5582
Si1 0.5000 0.7500 0.7500
Se1 0.5000 0.2500 0.2500

Output
M_tot = 0.000 μB/f.u.
electronic total energy = -6.899 eV per atom
energy above the lowest structure with this stoichiometry = 0.0 meV per atom

***

A relaxed SiIr2Se crystal, computed with PBE.

Lattice parameters (Å, degrees): 2.8670 2.8670 8.7883 90.00 90.00 119.87
Atoms (fractional coordinates):
Se1 0.5000 0.5000 0.2500
Ir1 0.0000 0.0000 0.9618
Ir2 0.0000 0.0000 0.5382
Si1 0.5000 0.5000 0.7500

Output
M_tot = 0.000 μB/f.u.
electronic total energy = -6.534 eV per atom
energy above the lowest structure with this stoichiometry = 364.1 meV per atom

***

A relaxed SiIr2Se crystal, computed with PBE.

Lattice parameters (Å, degrees): 3.0140 3.8562 5.2811 90.00 90.00 90.00
Atoms (fractional coordinates):
Si1 0.5000 0.5000 0.8121
Ir1 0.0000 0.0000 0.9541
Ir2 0.5000 0.5000 0.2972
Se1 0.0000 0.0000 0.4366

Output
M_tot = 0.000 μB/f.u.
electronic total energy = -6.646 eV per atom
energy above the lowest structure with this stoichiometry = 252.3 meV per atom

***

A relaxed SiIr2Se crystal, computed with PBE.

Lattice parameters (Å, degrees): 8.2896 8.2896 8.2896 20.29 20.29 20.29
Atoms (fractional coordinates):
Si1 0.7500 0.7500 0.7500
Ir1 0.4907 0.4907 0.4907
Ir2 0.0093 0.0093 0.0093
Se1 0.2500 0.2500 0.2500

Output
M_tot = 0.000 μB/f.u.
electronic total energy = -6.753 eV per atom
energy above the lowest structure with this stoichiometry = 145.9 meV per atom

***

A relaxed SiIr2Se crystal, computed with PBE.

Lattice parameters (Å, degrees): 4.5269 4.5269 2.9248 90.00 90.00 98.25
Atoms (fractional coordinates):
Se1 0.5000 0.0000 0.5000
Ir1 0.5000 0.5000 0.0000
Ir2 0.0000 0.0000 0.0000
Si1 0.0000 0.5000 0.5000

Output
M_tot = 0.000 μB/f.u.
electronic total energy = -6.435 eV per atom
energy above the lowest structure with this stoichiometry = 463.3 meV per atom

***

A relaxed SiIr2Se crystal, computed with PBE.

Lattice parameters (Å, degrees): 4.4517 4.4517 4.4517 60.00 60.00 60.00
Atoms (fractional coordinates):
Si1 0.7500 0.7500 0.7500
Ir1 0.0000 0.0000 0.0000
Ir2 0.2500 0.2500 0.2500
Se1 0.5000 0.5000 0.5000

Output
M_tot = 0.000 μB/f.u.
electronic total energy = -6.043 eV per atom
energy above the lowest structure with this stoichiometry = 855.6 meV per atom

***

A relaxed SiIr2Se crystal, computed with PBE.

Lattice parameters (Å, degrees): 6.7139 6.7139 3.5807 97.05 97.05 24.84
Atoms (fractional coordinates):
Ir1 0.7297 0.7297 0.6589
Ir2 0.9362 0.9362 0.0771
Si1 0.2940 0.2940 0.1909
Se1 0.5401 0.5401 0.5730

Output
M_tot = 0.000 μB/f.u.
electronic total energy = -6.799 eV per atom
energy above the lowest structure with this stoichiometry = 99.6 meV per atom

***

A relaxed SiIr2Se crystal, computed with PBE.

Lattice parameters (Å, degrees): 4.5167 4.5167 4.5167 125.07 125.07 81.43
Atoms (fractional coordinates):
Ir1 0.0000 0.0000 0.0000
Ir2 0.5000 0.5000 0.0000
Se1 0.2500 0.7500 0.5000
Si1 0.7500 0.2500 0.5000

Output
M_tot = 0.000 μB/f.u.
electronic total energy = -6.415 eV per atom
energy above the lowest structure with this stoichiometry = 483.2 meV per atom